La2NbMo | PBE | optimized geometry

Unit cell a=6.4851 b=6.4851 c=6.4851 alpha=102.21 beta=102.21 gamma=125.25
Positions (direct):
1 La 0.1086 0.1250 0.4836
2 La 0.3750 0.8914 0.0164
3 La 0.6414 0.6250 0.5164
4 La 0.8750 0.3586 0.9836
5 Nb 0.2500 0.7500 0.5000
6 Nb 0.5000 0.5000 0.0000
7 Mo 0.0000 0.0000 0.0000
8 Mo 0.7500 0.2500 0.5000

Results
For the relative energy among the computed polymorphs, the calculation gives 0.258 eV/atom. The calculation puts the raw total energy at -26.8 eV per formula unit. As for the energy of formation from the pure elements: 976.7 meV per atom. Its space-group type is I-42d, No. 122.

---

RbNaPt3 | PBE | optimized geometry

Unit cell a=5.2287 b=5.2287 c=5.2287 alpha=90.00 beta=90.00 gamma=90.00
Positions (direct):
1 Rb 0.0000 0.0000 0.0000
2 Na 0.5000 0.5000 0.5000
3 Pt 0.0000 0.0000 0.5000
4 Pt 0.0000 0.5000 0.0000
5 Pt 0.5000 0.0000 0.0000

Results
For the relative energy among the computed polymorphs, the calculation gives 0.603 eV/atom. The calculation puts the raw total energy at -11.9 eV per formula unit. As for the energy of formation from the pure elements: 1703.3 meV per atom. Its space-group type is Pm-3m, No. 221.